(1)
# NdAl12Pd4 | the Alexandria database | PBE | relaxed
data_NdAl12Pd4
_symmetry_space_group_name_H-M 'I m -3'
_symmetry_Int_Tables_number 204
_symmetry_space_group_name_Hall '-I 2 2 3'
_cell_length_a 8.785
_cell_length_b 8.785
_cell_length_c 8.785
_cell_angle_alpha 90.00
_cell_angle_beta 90.00
_cell_angle_gamma 90.00
loop_
_atom_site_label
_atom_site_fract_x
_atom_site_fract_y
_atom_site_fract_z
Nd1 0.000 0.000 0.000
Al1 0.000 0.344 0.159
Pd1 0.250 0.250 0.250
# * E_tot: -147.92 eV/cell
# * energy of formation from the pure elements: -0.21 eV/atom

(2)
# KSrNiCl6 | the Alexandria database | PBE | relaxed
data_KSrNiCl6
_symmetry_space_group_name_H-M 'C 1 2 1'
_symmetry_Int_Tables_number 5
_cell_length_a 7.161
_cell_length_b 11.549
_cell_length_c 6.757
_cell_angle_alpha 90.00
_cell_angle_beta 91.25
_cell_angle_gamma 90.00
loop_
_symmetry_equiv_pos_as_xyz
'x,y,z'
'-x,y,-z'
'x+1/2,y+1/2,z'
'-x+1/2,y+1/2,-z'
loop_
_atom_site_label
_atom_site_fract_x
_atom_site_fract_y
_atom_site_fract_z
K1 0.000 0.000 0.000
Sr1 0.000 0.679 0.500
Ni1 0.000 0.331 0.500
Cl1 0.135 0.467 0.693
Cl2 0.138 0.195 0.691
Cl3 0.226 0.828 0.735
# * uncorrected formation energy: -32.81 kcal/mol of atoms
# * E_tot: -64.89 eV/cell

(3)
# Nb4Ni2N | the Alexandria database | PBE | relaxed
data_Nb4Ni2N
_symmetry_space_group_name_H-M 'I 4/m m m'
_symmetry_Int_Tables_number 139
_symmetry_space_group_name_Hall '-I 4 2'
_cell_length_a 4.163
_cell_length_b 4.163
_cell_length_c 12.501
_cell_angle_alpha 90.00
_cell_angle_beta 90.00
_cell_angle_gamma 90.00
loop_
_atom_site_label
_atom_site_fract_x
_atom_site_fract_y
_atom_site_fract_z
Nb1 0.000 0.000 0.178
Nb2 0.000 0.500 0.000
Ni1 0.000 0.000 0.371
N1 0.000 0.000 0.000
# * excess energy over the best structure of this formula in the dataset: 276 kJ/mol of formula units
# * uncorrected formation energy: -3.85 kcal/mol of atoms
# * E_tot: -122.67 eV/cell

(4)
# POs2W | the Alexandria database | PBE | relaxed
data_POs2W
_symmetry_space_group_name_H-M 'R -3 m'
_symmetry_Int_Tables_number 166
_symmetry_space_group_name_Hall '-R 3 2"'
_cell_length_a 2.8229
_cell_length_b 2.8229
_cell_length_c 24.8000
_cell_angle_alpha 90.00
_cell_angle_beta 90.00
_cell_angle_gamma 120.00
loop_
_atom_site_label
_atom_site_fract_x
_atom_site_fract_y
_atom_site_fract_z
P1 0.0000 0.0000 0.0000
Os1 0.0000 0.0000 0.2576
W1 0.0000 0.0000 0.5000
# * E_tot: -121.28 eV/cell
# * energy of formation from the pure elements: 0.10 eV/atom

(5)
# Ac6La5Er | the Alexandria database | PBE | relaxed
data_Ac6La5Er
_symmetry_space_group_name_H-M 'I m m m'
_symmetry_Int_Tables_number 71
_symmetry_space_group_name_Hall '-I 2 2'
_cell_length_a 5.484
_cell_length_b 10.746
_cell_length_c 16.375
_cell_angle_alpha 90.00
_cell_angle_beta 90.00
_cell_angle_gamma 90.00
loop_
_atom_site_label
_atom_site_fract_x
_atom_site_fract_y
_atom_site_fract_z
Ac1 0.000 0.248 0.000
Ac2 0.000 0.252 0.334
La1 0.000 0.000 0.165
La2 0.000 0.000 0.500
La3 0.000 0.500 0.166
Er1 0.000 0.500 0.500
# * E_tot: -107.06 eV/cell
# * energy of formation from the pure elements: 0.03 eV/atom

(6)
# TeRh2Au | the Alexandria database | PBE | relaxed
data_TeRh2Au
_symmetry_space_group_name_H-M 'I m m 2'
_symmetry_Int_Tables_number 44
_cell_length_a 3.579
_cell_length_b 3.994
_cell_length_c 10.094
_cell_angle_alpha 90.00
_cell_angle_beta 90.00
_cell_angle_gamma 90.00
loop_
_symmetry_equiv_pos_as_xyz
'x,y,z'
'-x,-y,z'
'-x,y,z'
'x,-y,z'
'x+1/2,y+1/2,z+1/2'
'-x+1/2,-y+1/2,z+1/2'
'-x+1/2,y+1/2,z+1/2'
'x+1/2,-y+1/2,z+1/2'
loop_
_atom_site_label
_atom_site_fract_x
_atom_site_fract_y
_atom_site_fract_z
Te1 0.000 0.000 0.000
Rh1 0.000 0.000 0.447
Rh2 0.000 0.500 0.684
Au1 0.000 0.500 0.249
# * uncorrected formation energy: 2.68 kcal/mol of atoms
# * E_tot: -41.31 eV/cell

(7)
# Pr5Nd3 | the Alexandria database | PBE | relaxed
data_Pr5Nd3
_symmetry_space_group_name_H-M 'C m m m'
_symmetry_Int_Tables_number 65
_symmetry_space_group_name_Hall '-C 2 2'
_cell_length_a 10.458
_cell_length_b 10.460
_cell_length_c 5.246
_cell_angle_alpha 90.00
_cell_angle_beta 90.00
_cell_angle_gamma 90.00
loop_
_atom_site_label
_atom_site_fract_x
_atom_site_fract_y
_atom_site_fract_z
Pr1 0.000 0.000 0.000
Pr2 0.249 0.500 0.500
Pr3 0.250 0.250 0.000
Nd1 0.000 0.250 0.500
Nd2 0.000 0.500 0.000
# * excess energy over the best structure of this formula in the dataset: 0 kJ/mol of formula units
# * E_tot: -76.21 eV/cell
# * energy of formation from the pure elements: 0.01 eV/atom

(8)
# Rb3LaBr6 | the Alexandria database | PBE | relaxed
data_Rb3LaBr6
_symmetry_space_group_name_H-M 'P 1 21/c 1'
_symmetry_Int_Tables_number 14
_cell_length_a 14.556
_cell_length_b 8.643
_cell_length_c 13.963
_cell_angle_alpha 90.00
_cell_angle_beta 109.53
_cell_angle_gamma 90.00
loop_
_symmetry_equiv_pos_as_xyz
'x,y,z'
'-x,-y,-z'
'-x,y+1/2,-z+1/2'
'x,-y+1/2,z+1/2'
loop_
_atom_site_label
_atom_site_fract_x
_atom_site_fract_y
_atom_site_fract_z
Rb1 0.113 0.044 0.374
Rb2 0.315 0.054 0.770
Rb3 0.324 0.581 0.613
La1 0.000 0.000 0.000
La2 0.500 0.000 0.500
Br1 0.099 0.035 0.850
Br2 0.108 0.706 0.074
Br3 0.155 0.171 0.151
Br4 0.333 0.702 0.894
Br5 0.353 0.235 0.499
Br6 0.498 0.631 0.197
# * excess energy over the best structure of this formula in the dataset: 0 kJ/mol of formula units
# * uncorrected formation energy: -43.32 kcal/mol of atoms
# * E_tot: -146.61 eV/cell